1.
First-principles (GGA-PBE) data for a geometry-optimized Dy6Y2Tl structure, as listed in Alexandria via LeMat-Bulk.

```
Dy6Y2Tl
1.0
10.664 0.000 0.000
0.000 10.664 0.000
0.000 0.000 4.855
Dy Y Tl
12 4 2
Direct
0.002 0.337 0.000
0.163 0.502 0.500
0.164 0.164 0.500
0.336 0.664 0.000
0.337 0.002 0.000
0.498 0.837 0.500
0.502 0.163 0.500
0.663 0.998 0.000
0.664 0.336 0.000
0.836 0.836 0.500
0.837 0.498 0.500
0.998 0.663 0.000
0.159 0.841 0.500
0.341 0.341 0.000
0.659 0.659 0.000
0.841 0.159 0.500
0.000 0.000 0.000
0.500 0.500 0.500
```

Output
Size of the total moment: 0.0 μB per formula unit
Energy relative to the elements: -0.04 eV/atom
SG: No. 136
VASP energy: -4.808 eV per atom

***

2.
First-principles (GGA-PBE) data for a geometry-optimized Dy5Y12Tl2 structure, as listed in Alexandria via LeMat-Bulk.

```
Dy5Y12Tl2
1.0
7.677 -4.736 0.000
7.677 4.736 0.000
-0.230 0.000 8.288
Dy Y Tl
5 12 2
Direct
0.000 0.000 0.000
0.235 0.235 0.082
0.314 0.314 0.497
0.686 0.686 0.503
0.765 0.765 0.918
0.034 0.665 0.267
0.085 0.085 0.382
0.178 0.572 0.844
0.335 0.966 0.733
0.428 0.822 0.156
0.448 0.448 0.183
0.552 0.552 0.817
0.572 0.178 0.844
0.665 0.034 0.267
0.822 0.428 0.156
0.915 0.915 0.618
0.966 0.335 0.733
0.310 0.690 0.500
0.690 0.310 0.500
```

Output
Size of the total moment: 0.0 μB per formula unit
Energy relative to the elements: 0.02 eV/atom
SG: No. 12
VASP energy: -5.528 eV per atom

***

3.
First-principles (GGA-PBE) data for a geometry-optimized Dy3YTl2 structure, as listed in Alexandria via LeMat-Bulk.

```
Dy3YTl2
1.0
8.227 -2.674 0.000
8.227 2.674 0.000
-4.658 0.000 8.051
Dy Y Tl
6 2 4
Direct
0.058 0.058 0.215
0.307 0.307 0.507
0.384 0.384 0.956
0.616 0.616 0.044
0.693 0.693 0.493
0.942 0.942 0.785
0.130 0.130 0.671
0.870 0.870 0.329
0.224 0.224 0.094
0.478 0.478 0.327
0.522 0.522 0.673
0.776 0.776 0.906
```

Output
Energy above the lowest structure with this stoichiometry: 0.117 eV per atom
Size of the total moment: 0.2 μB per formula unit
Energy relative to the elements: -0.16 eV/atom
SG: No. 12
VASP energy: -4.328 eV per atom

***

4.
First-principles (GGA-PBE) data for a geometry-optimized Dy6Y3Tl structure, as listed in Alexandria via LeMat-Bulk.

```
Dy6Y3Tl
1.0
5.486 -9.413 0.000
5.486 9.413 0.000
0.000 0.000 6.121
Dy Y Tl
12 6 2
Direct
0.056 0.486 0.105
0.056 0.944 0.500
0.267 0.733 0.775
0.288 0.388 0.916
0.388 0.288 0.416
0.486 0.056 0.605
0.514 0.944 0.105
0.612 0.712 0.916
0.712 0.612 0.416
0.733 0.267 0.275
0.944 0.056 0.000
0.944 0.514 0.605
0.058 0.268 0.479
0.268 0.058 0.979
0.391 0.609 0.391
0.609 0.391 0.891
0.732 0.942 0.479
0.942 0.732 0.979
0.210 0.790 0.301
0.790 0.210 0.801
```

Output
Energy above the lowest structure with this stoichiometry: 0.082 eV per atom
Size of the total moment: 0.0 μB per formula unit
Energy relative to the elements: 0.03 eV/atom
SG: No. 36
VASP energy: -4.909 eV per atom

***

5.
First-principles (GGA-PBE) data for a geometry-optimized Dy6YTl structure, as listed in Alexandria via LeMat-Bulk.

```
Dy6YTl
1.0
4.614 2.664 3.386
-4.614 2.664 3.386
0.000 -5.328 3.386
Dy Y Tl
6 1 1
Direct
0.036 0.544 0.758
0.242 0.964 0.456
0.456 0.242 0.964
0.544 0.758 0.036
0.758 0.036 0.544
0.964 0.456 0.242
0.500 0.500 0.500
0.000 0.000 0.000
```

Output
Energy above the lowest structure with this stoichiometry: 0.095 eV per atom
Size of the total moment: 0.0 μB per formula unit
Energy relative to the elements: 0.02 eV/atom
SG: No. 148
VASP energy: -4.534 eV per atom

***

6.
First-principles (GGA-PBE) data for a geometry-optimized Dy12YTl3 structure, as listed in Alexandria via LeMat-Bulk.

```
Dy12YTl3
1.0
4.862 0.000 0.000
0.000 4.862 0.000
0.000 0.000 19.866
Dy Y Tl
12 1 3
Direct
0.000 0.000 0.000
0.000 0.000 0.245
0.000 0.000 0.500
0.000 0.000 0.755
0.000 0.500 0.123
0.000 0.500 0.370
0.000 0.500 0.630
0.000 0.500 0.877
0.500 0.000 0.123
0.500 0.000 0.370
0.500 0.000 0.630
0.500 0.000 0.877
0.500 0.500 0.500
0.500 0.500 0.000
0.500 0.500 0.243
0.500 0.500 0.757
```

Output
Size of the total moment: 0.0 μB per formula unit
Energy relative to the elements: -0.13 eV/atom
SG: No. 123
VASP energy: -4.425 eV per atom

***

7.
First-principles (GGA-PBE) data for a geometry-optimized Dy3YTl3 structure, as listed in Alexandria via LeMat-Bulk.

```
Dy3YTl3
1.0
9.338 0.000 0.000
0.000 9.338 0.000
0.000 0.000 9.338
Dy Y Tl
12 4 12
Direct
0.074 0.426 0.574
0.177 0.177 0.177
0.177 0.823 0.323
0.323 0.177 0.823
0.323 0.823 0.677
0.426 0.574 0.074
0.574 0.074 0.426
0.677 0.323 0.823
0.677 0.677 0.677
0.823 0.323 0.177
0.823 0.677 0.323
0.926 0.926 0.926
0.073 0.573 0.927
0.427 0.427 0.427
0.573 0.927 0.073
0.927 0.073 0.573
0.000 0.249 0.874
0.000 0.749 0.626
0.126 0.500 0.251
0.249 0.874 0.000
0.251 0.126 0.500
0.374 0.500 0.751
0.500 0.251 0.126
0.500 0.751 0.374
0.626 0.000 0.749
0.749 0.626 0.000
0.751 0.374 0.500
0.874 0.000 0.249
```

Output
Energy above the lowest structure with this stoichiometry: 0.000 eV per atom
Size of the total moment: 0.0 μB per formula unit
Energy relative to the elements: -0.26 eV/atom
SG: No. 198
VASP energy: -4.168 eV per atom

***

8.
First-principles (GGA-PBE) data for a geometry-optimized Dy2Y5Tl4 structure, as listed in Alexandria via LeMat-Bulk.

```
Dy2Y5Tl4
1.0
-1.742 4.307 14.564
1.742 -4.307 14.564
1.742 4.307 -14.564
Dy Y Tl
2 5 4
Direct
0.096 0.096 0.000
0.904 0.904 0.000
0.000 0.200 0.801
0.000 0.500 0.500
0.000 0.800 0.199
0.399 0.200 0.199
0.601 0.800 0.801
0.298 0.298 0.000
0.319 0.000 0.319
0.681 0.000 0.681
0.702 0.702 0.000
```

Output
Size of the total moment: 0.0 μB per formula unit
Energy relative to the elements: 0.33 eV/atom
SG: No. 71
VASP energy: -4.306 eV per atom

***

9.
First-principles (GGA-PBE) data for a geometry-optimized Dy3Y4Tl structure, as listed in Alexandria via LeMat-Bulk.

```
Dy3Y4Tl
1.0
11.224 0.000 0.000
0.000 7.060 0.000
0.000 0.000 6.184
Dy Y Tl
6 8 2
Direct
0.000 0.130 0.000
0.243 0.114 0.336
0.257 0.886 0.836
0.500 0.870 0.500
0.743 0.886 0.836
0.757 0.114 0.336
0.000 0.369 0.530
0.000 0.631 0.001
0.239 0.626 0.361
0.261 0.374 0.861
0.500 0.369 0.501
0.500 0.631 0.030
0.739 0.374 0.861
0.761 0.626 0.361
0.000 0.876 0.516
0.500 0.124 0.016
```

Output
Size of the total moment: 0.0 μB per formula unit
Energy relative to the elements: -0.07 eV/atom
SG: No. 31
VASP energy: -5.327 eV per atom

***

10.
First-principles (GGA-PBE) data for a geometry-optimized DyY2Tl structure, as listed in Alexandria via LeMat-Bulk.

```
DyY2Tl
1.0
1.778 1.026 12.023
-1.778 1.026 12.023
0.000 -2.053 12.023
Dy Y Tl
1 2 1
Direct
0.000 0.000 0.000
0.412 0.412 0.412
0.588 0.588 0.588
0.500 0.500 0.500
```

Output
Energy above the lowest structure with this stoichiometry: 0.281 eV per atom
Size of the total moment: 0.0 μB per formula unit
Energy relative to the elements: 0.08 eV/atom
SG: No. 166
VASP energy: -4.895 eV per atom

***

11.
First-principles (GGA-PBE) data for a geometry-optimized DyYTl2 structure, as listed in Alexandria via LeMat-Bulk.

```
DyYTl2
1.0
0.000 3.801 3.801
3.801 0.000 3.801
3.801 3.801 0.000
Dy Y Tl
1 1 2
Direct
0.000 0.000 0.000
0.500 0.500 0.500
0.250 0.250 0.250
0.750 0.750 0.750
```

Output
Energy above the lowest structure with this stoichiometry: 0.002 eV per atom
Size of the total moment: 0.0 μB per formula unit
Energy relative to the elements: -0.36 eV/atom
SG: No. 225
VASP energy: -4.309 eV per atom

***

12.
First-principles (GGA-PBE) data for a geometry-optimized Dy2YTl structure, as listed in Alexandria via LeMat-Bulk.

```
Dy2YTl
1.0
1.837 -6.386 0.000
1.837 6.386 0.000
0.000 0.000 10.244
Dy Y Tl
4 2 2
Direct
0.131 0.869 0.533
0.131 0.869 0.967
0.869 0.131 0.033
0.869 0.131 0.467
0.460 0.540 0.750
0.540 0.460 0.250
0.255 0.745 0.250
0.745 0.255 0.750
```

Output
Energy above the lowest structure with this stoichiometry: 0.027 eV per atom
Size of the total moment: 0.1 μB per formula unit
Energy relative to the elements: -0.17 eV/atom
SG: No. 63
VASP energy: -4.679 eV per atom